A plane-wave DFT calculation with SCAN was carried out for a crystal of MgHg2 relaxed with PBEsol.

The magnetization comes out at 0.0000 μB per atom. As for the density of states at the Fermi level: 1.05 states/eV/f.u. Its calculated formation energy is -0.18 eV/atom.

The structure belongs to space group C2/m (No. 12); the cell edges are 10.961, 3.443 and 7.549 Å and the angles 90.00°, 114.25° and 90.00°. The asymmetric unit holds Mg at (0.176, 0.000, 0.145), Hg at (0.043, 0.500, 0.810) and Hg at (0.146, 0.000, 0.537).

A plane-wave DFT calculation with SCAN was carried out for a crystal of MgHg3 relaxed with PBEsol.

The magnetization comes out at 0.0000 μB per atom. As for the density of states at the Fermi level: 1.10 states/eV/f.u. Its calculated formation energy is -0.14 eV/atom.

The structure belongs to space group C2/m (No. 12); the cell edges are 9.547, 3.708 and 5.105 Å and the angles 90.00°, 103.61° and 90.00°. The asymmetric unit holds Mg at (0.000, 0.000, 0.000), Hg at (0.000, 0.500, 0.500) and Hg at (0.246, 0.500, 0.237).

A plane-wave DFT calculation with SCAN was carried out for a crystal of MgHg2 relaxed with PBEsol.

The magnetization comes out at 0.0000 μB per atom. As for the density of states at the Fermi level: 0.80 states/eV/f.u. Its calculated formation energy is -0.22 eV/atom.

The structure belongs to space group C2/c (No. 15); the cell edges are 8.984, 5.126 and 6.680 Å and the angles 90.00°, 124.21° and 90.00°. The asymmetric unit holds Mg at (0.000, 0.106, 0.250) and Hg at (0.166, 0.394, 0.746).

A plane-wave DFT calculation with SCAN was carried out for a crystal of MgHg2 relaxed with PBEsol.

The magnetization comes out at 0.0000 μB per atom. As for the density of states at the Fermi level: 0.94 states/eV/f.u. Its calculated formation energy is -0.20 eV/atom.

The structure belongs to space group P4/mmm (No. 123); the cell edges are 4.844, 4.844 and 3.133 Å and the angles 90.00°, 90.00° and 90.00°. The asymmetric unit holds Mg at (0.000, 0.000, 0.000) and Hg at (0.000, 0.500, 0.500).

A plane-wave DFT calculation with SCAN was carried out for a crystal of Mg5Hg3 relaxed with PBEsol.

The magnetization comes out at 0.0000 μB per atom. As for the density of states at the Fermi level: 2.25 states/eV/f.u. Its calculated formation energy is -0.34 eV/atom.

The structure belongs to space group Cmmm (No. 65); the cell edges are 7.572, 9.432 and 4.617 Å and the angles 90.00°, 90.00° and 90.00°. The asymmetric unit holds Mg at (0.000, 0.000, 0.000), Mg at (0.213, 0.500, 0.500), Mg at (0.250, 0.250, 0.000), Hg at (0.000, 0.210, 0.500) and Hg at (0.000, 0.500, 0.000).

A plane-wave DFT calculation with SCAN was carried out for a crystal of MgHg relaxed with PBEsol.

The magnetization comes out at 0.0000 μB per atom. As for the density of states at the Fermi level: 0.69 states/eV/f.u. Its calculated formation energy is -0.34 eV/atom.

The structure belongs to space group Cmcm (No. 63); the cell edges are 3.357, 10.861 and 4.603 Å and the angles 90.00°, 90.00° and 90.00°. The asymmetric unit holds Mg at (0.000, 0.153, 0.250) and Hg at (0.000, 0.413, 0.250).

A plane-wave DFT calculation with SCAN was carried out for a crystal of MgHg relaxed with PBEsol.

The magnetization comes out at 0.0000 μB per atom. As for the density of states at the Fermi level: 0.54 states/eV/f.u. Its calculated formation energy is -0.29 eV/atom.

The structure belongs to space group P4/nmm (No. 129, origin choice 2); the cell edges are 3.812, 3.812 and 5.824 Å and the angles 90.00°, 90.00° and 90.00°. The asymmetric unit holds Mg at (0.250, 0.250, 0.154) and Hg at (0.250, 0.250, 0.654).

A plane-wave DFT calculation with SCAN was carried out for a crystal of MgHg2 relaxed with PBEsol.

The magnetization comes out at 0.0000 μB per atom. As for the density of states at the Fermi level: 1.30 states/eV/f.u. Its calculated formation energy is -0.18 eV/atom.

The structure belongs to space group Fd-3m (No. 227, origin choice 2); the cell edges are 12.881, 12.881 and 12.881 Å and the angles 90.00°, 90.00° and 90.00°. The asymmetric unit holds Mg at (0.034, 0.034, 0.216), Hg at (0.000, 0.000, 0.000) and Hg at (0.057, 0.375, 0.875).

A plane-wave DFT calculation with SCAN was carried out for a crystal of Mg2Hg relaxed with PBEsol.

The magnetization comes out at 0.0000 μB per atom. As for the density of states at the Fermi level: 0.86 states/eV/f.u. Its calculated formation energy is -0.38 eV/atom.

The structure belongs to space group Pnma (No. 62); the cell edges are 6.193, 4.599 and 8.751 Å and the angles 90.00°, 90.00° and 90.00°. The asymmetric unit holds Mg at (0.045, 0.250, 0.208), Mg at (0.176, 0.250, 0.559) and Hg at (0.216, 0.250, 0.882).

A plane-wave DFT calculation with SCAN was carried out for a crystal of MgHg3 relaxed with PBEsol.

The magnetization comes out at 0.0000 μB per atom. As for the density of states at the Fermi level: 1.20 states/eV/f.u. Its calculated formation energy is -0.12 eV/atom.

The structure belongs to space group I4/mmm (No. 139); the cell edges are 4.429, 4.429 and 17.621 Å and the angles 90.00°, 90.00° and 90.00°. The asymmetric unit holds Mg at (0.000, 0.000, 0.123), Hg at (0.000, 0.000, 0.375), Hg at (0.000, 0.500, 0.000) and Hg at (0.000, 0.500, 0.250).

A plane-wave DFT calculation with SCAN was carried out for a crystal of Mg3Hg2 relaxed with PBEsol.

The magnetization comes out at 0.0000 μB per atom. As for the density of states at the Fermi level: 1.27 states/eV/f.u. Its calculated formation energy is -0.36 eV/atom.

The structure belongs to space group P-3m1 (No. 164); the cell edges are 4.7365, 4.7365 and 5.7224 Å and the angles 90.00°, 90.00° and 120.00°. The asymmetric unit holds Mg at (0.0000, 0.0000, 0.0000), Mg at (0.3333, 0.6667, 0.3414) and Hg at (0.3333, 0.6667, 0.8291).

A plane-wave DFT calculation with SCAN was carried out for a crystal of MgHg3 relaxed with PBEsol.

The magnetization comes out at 0.0000 μB per atom. As for the density of states at the Fermi level: 1.35 states/eV/f.u. Its calculated formation energy is -0.11 eV/atom.

The structure belongs to space group I4/mmm (No. 139); the cell edges are 4.380, 4.380 and 8.972 Å and the angles 90.00°, 90.00° and 90.00°. The asymmetric unit holds Mg at (0.000, 0.000, 0.000), Hg at (0.000, 0.000, 0.500) and Hg at (0.000, 0.500, 0.250).

A plane-wave DFT calculation with SCAN was carried out for a crystal of MgHg2 relaxed with PBEsol.

The magnetization comes out at 0.0000 μB per atom. As for the density of states at the Fermi level: 0.95 states/eV/f.u. Its calculated formation energy is -0.21 eV/atom.

The structure belongs to space group Pnma (No. 62); the cell edges are 5.953, 4.768 and 9.013 Å and the angles 90.00°, 90.00° and 90.00°. The asymmetric unit holds Mg at (0.163, 0.250, 0.136), Hg at (0.126, 0.250, 0.806) and Hg at (0.161, 0.250, 0.466).

A plane-wave DFT calculation with SCAN was carried out for a crystal of MgHg3 relaxed with PBEsol.

The magnetization comes out at 0.0000 μB per atom. As for the density of states at the Fermi level: 1.31 states/eV/f.u. Its calculated formation energy is -0.14 eV/atom.

The structure belongs to space group Imm2 (No. 44); the cell edges are 3.183, 11.325 and 4.963 Å and the angles 90.00°, 90.00° and 90.00°. The asymmetric unit holds Mg at (0.000, 0.000, 0.000), Hg at (0.000, 0.284, 0.374) and Hg at (0.000, 0.500, 0.982).

A plane-wave DFT calculation with SCAN was carried out for a crystal of Mg5Hg relaxed with PBEsol.

The magnetization comes out at 0.0000 μB per atom. As for the density of states at the Fermi level: 2.66 states/eV/f.u. Its calculated formation energy is -0.10 eV/atom.

The structure belongs to space group P4/mmm (No. 123); the cell edges are 3.223, 3.223 and 12.737 Å and the angles 90.00°, 90.00° and 90.00°. The asymmetric unit holds Mg at (0.000, 0.000, 0.000), Mg at (0.000, 0.000, 0.350), Mg at (0.500, 0.500, 0.174) and Hg at (0.500, 0.500, 0.500).

A plane-wave DFT calculation with SCAN was carried out for a crystal of MgHg relaxed with PBEsol.

The magnetization comes out at 0.0000 μB per atom. As for the density of states at the Fermi level: 0.40 states/eV/f.u. Its calculated formation energy is -0.33 eV/atom.

The structure belongs to space group P2_13 (No. 198); the cell edges are 5.506, 5.506 and 5.506 Å and the angles 90.00°, 90.00° and 90.00°. The asymmetric unit holds Mg at (0.097, 0.097, 0.097) and Hg at (0.093, 0.593, 0.907).

A plane-wave DFT calculation with SCAN was carried out for a crystal of MgMn2Hg relaxed with PBEsol.

The magnetization comes out at 1.9923 μB per atom. As for the density of states at the Fermi level: 1.93 states/eV/f.u. Its calculated formation energy is -0.06 eV/atom.

The structure belongs to space group P4/mmm (No. 123); the cell edges are 3.354, 3.354 and 5.869 Å and the angles 90.00°, 90.00° and 90.00°. The asymmetric unit holds Mg at (0.000, 0.000, 0.000), Mn at (0.500, 0.500, 0.248) and Hg at (0.000, 0.000, 0.500).

A plane-wave DFT calculation with SCAN was carried out for a crystal of Mg2MnHg relaxed with PBEsol.

The magnetization comes out at 1.0878 μB per atom. As for the density of states at the Fermi level: 1.61 states/eV/f.u. Its calculated formation energy is -0.18 eV/atom.

The structure belongs to space group I4/mmm (No. 139); the cell edges are 4.724, 4.724 and 6.561 Å and the angles 90.00°, 90.00° and 90.00°. The asymmetric unit holds Mg at (0.000, 0.500, 0.250), Mn at (0.000, 0.000, 0.000) and Hg at (0.000, 0.000, 0.500).

A plane-wave DFT calculation with SCAN was carried out for a crystal of MgMn2Hg relaxed with PBEsol.

The magnetization comes out at 1.9426 μB per atom. As for the density of states at the Fermi level: 1.54 states/eV/f.u. Its calculated formation energy is -0.12 eV/atom.

The structure belongs to space group P4/mmm (No. 123); the cell edges are 3.996, 3.996 and 3.994 Å and the angles 90.00°, 90.00° and 90.00°. The asymmetric unit holds Mg at (0.000, 0.000, 0.000), Mn at (0.000, 0.500, 0.500) and Hg at (0.500, 0.500, 0.000).

A plane-wave DFT calculation with SCAN was carried out for a crystal of MgMn3Hg relaxed with PBEsol.

The magnetization comes out at 2.3066 μB per atom. As for the density of states at the Fermi level: 4.21 states/eV/f.u. Its calculated formation energy is 1.00 eV/atom.

The structure belongs to space group Pm-3m (No. 221); the cell edges are 4.600, 4.600 and 4.600 Å and the angles 90.00°, 90.00° and 90.00°. The asymmetric unit holds Mg at (0.000, 0.000, 0.000), Mn at (0.000, 0.000, 0.500) and Hg at (0.500, 0.500, 0.500).